1.
A relaxed structure of TlSiAu. Source: Alexandria via LeMat-Bulk, functional PBE.

Unit cell a=5.831 b=3.962 c=11.595 alpha=90.00 beta=90.00 gamma=90.00
Space group Pnma (No. 62)
Symmetry-distinct sites (fractional):
Tl 0.082 0.250 0.132 (multiplicity 4)
Si 0.119 0.250 0.464 (multiplicity 4)
Au 0.045 0.750 0.323 (multiplicity 4)

Calculated values
raw total energy = -0.1285 Ha/atom



2.
A relaxed structure of TmMoC. Source: Alexandria via LeMat-Bulk, functional PBE.

Unit cell a=11.455 b=3.324 c=5.693 alpha=90.00 beta=113.57 gamma=90.00
Space group C2/m (No. 12)
Symmetry-distinct sites (fractional):
Tm 0.114 0.000 0.316 (multiplicity 4)
Mo 0.155 0.500 0.837 (multiplicity 4)
C 0.246 0.000 0.763 (multiplicity 4)

Calculated values
raw total energy = -0.3086 Ha/atom



3.
A relaxed structure of AsSeCl. Source: Alexandria via LeMat-Bulk, functional PBE.

Unit cell a=3.529 b=5.767 c=10.182 alpha=85.51 beta=89.73 gamma=74.10
Space group P-1 (No. 2)
Symmetry-distinct sites (fractional):
As 0.172 0.175 0.302 (multiplicity 2)
Se 0.325 0.828 0.863 (multiplicity 2)
Cl 0.346 0.783 0.381 (multiplicity 2)

Calculated values
raw total energy = -0.1355 Ha/atom



4.
A relaxed structure of ThFeN2. Source: Alexandria via LeMat-Bulk, functional PBE.

Unit cell a=6.542 b=5.850 c=7.531 alpha=90.00 beta=121.55 gamma=90.00
Space group P2_1/c (No. 14)
Symmetry-distinct sites (fractional):
Th 0.207 0.171 0.439 (multiplicity 4)
Fe 0.332 0.689 0.623 (multiplicity 4)
N 0.046 0.706 0.910 (multiplicity 4)
N 0.451 0.075 0.269 (multiplicity 4)

Calculated values
raw total energy = -0.3301 Ha/atom



5.
A relaxed structure of MnCdSnBr6. Source: Alexandria via LeMat-Bulk, functional PBE.

Unit cell a=7.0302 b=7.0302 c=13.0722 alpha=90.00 beta=90.00 gamma=120.00
Space group P-31c (No. 163)
Symmetry-distinct sites (fractional):
Mn 0.3333 0.6667 0.2500 (multiplicity 2)
Cd 0.3333 0.6667 0.7500 (multiplicity 2)
Sn 0.0000 0.0000 0.0000 (multiplicity 2)
Br 0.0129 0.3613 0.1313 (multiplicity 12)

Calculated values
raw total energy = -0.1268 Ha/atom



6.
A relaxed structure of Dy2Er2Sc. Source: Alexandria via LeMat-Bulk, functional PBE.

Unit cell a=9.016 b=9.016 c=3.692 alpha=90.00 beta=90.00 gamma=90.00
Space group P4/mbm (No. 127)
Symmetry-distinct sites (fractional):
Dy 0.131 0.369 0.000 (multiplicity 4)
Er 0.169 0.669 0.500 (multiplicity 4)
Sc 0.000 0.000 0.000 (multiplicity 2)

Calculated values
raw total energy = -0.1750 Ha/atom



7.
A relaxed structure of NdEr3Sb3. Source: Alexandria via LeMat-Bulk, functional PBE.

Unit cell a=9.0486 b=9.0486 c=18.3325 alpha=90.00 beta=90.00 gamma=120.00
Space group R-3 (No. 148, hexagonal axes)
Symmetry-distinct sites (fractional):
Nd 0.0000 0.0000 0.1655 (multiplicity 6)
Er 0.0019 0.7356 0.5840 (multiplicity 18)
Sb 0.0037 0.6225 0.4167 (multiplicity 18)

Calculated values
raw total energy = -0.1938 Ha/atom



8.
A relaxed structure of BaLa2TlFe. Source: Alexandria via LeMat-Bulk, functional PBE.

Unit cell a=5.350 b=5.350 c=5.471 alpha=90.00 beta=90.00 gamma=90.00
Space group P4/mmm (No. 123)
Symmetry-distinct sites (fractional):
Ba 0.000 0.000 0.000 (multiplicity 1)
La 0.000 0.500 0.500 (multiplicity 2)
Tl 0.500 0.500 0.000 (multiplicity 1)
Fe 0.500 0.500 0.500 (multiplicity 1)

Calculated values
raw total energy = -0.1667 Ha/atom



Among the records above, which one has the lowest raw total energy?
ThFeN2